NiAs2F: optimized geometry, PBE with a Hubbard U.

Computed properties:
Density = 7.16 Mg/m³
Relative energy among the computed polymorphs = 0.000 eV per atom

Unit cell a=4.210 b=4.210 c=4.210 alpha=60.00 beta=60.00 gamma=60.00
Fractional positions:
1 Ni 0.500 0.500 0.500
2 As 0.250 0.250 0.250
3 As 0.750 0.750 0.750
4 F 0.000 0.000 0.000